Entry from the Alexandria database: LiIr2Au after structural relaxation (GGA-PBE).

Computed properties:
**Energy above the most stable polymorph in this dataset**: 149 meV/atom
**Electronic total energy**: -5.629 eV per atom
**DFT formation energy**: 99 meV/atom

Unit cell a=3.779 b=3.779 c=4.116 alpha=90.00 beta=90.00 gamma=90.00
Space group P4/mmm (No. 123)
Unique sites:
Li (0.000, 0.000, 0.000) (multiplicity 1)
Ir (0.000, 0.500, 0.500) (multiplicity 2)
Au (0.500, 0.500, 0.000) (multiplicity 1)